DFT (GGA-PBE) results for an optimized crystal structure of AlFeH4.

Geometry as POSCAR:
```
AlFeH4
1.0
-2.847 3.136 -0.170
-2.682 0.259 3.273
4.524 2.818 2.137
Al Fe H
2 2 8
direct
0.976 0.024 0.500
0.422 0.578 0.000
0.635 0.652 0.379
0.348 0.365 0.621
0.702 0.177 0.777
0.762 0.789 0.196
0.351 0.064 0.382
0.936 0.649 0.618
0.211 0.238 0.804
0.495 0.662 0.662
0.823 0.298 0.223
0.338 0.505 0.338
```

- volume (Å³ per atom) = 7.5
- size of the total moment (μB/atom) = 0.000
- energy (eV for the cell shown) = -51.48
- space group = C2, No. 5
- density (g/cm³) = 3.2

***

DFT (GGA-PBE) results for an optimized crystal structure of Al3Fe5H12.

Geometry as POSCAR:
```
Al3Fe5H12
1.0
8.833 0.000 0.000
-2.944 8.328 0.000
-2.944 -4.164 7.212
Al Fe H
12 20 48
direct
0.750 0.375 0.125
0.875 0.750 0.125
0.375 0.750 0.625
0.250 0.125 0.375
0.875 0.125 0.250
0.375 0.625 0.250
0.625 0.375 0.750
0.125 0.875 0.750
0.750 0.875 0.625
0.625 0.250 0.375
0.125 0.250 0.875
0.250 0.625 0.875
0.125 0.375 0.250
0.000 0.500 0.000
0.000 0.000 0.000
0.375 0.250 0.125
0.500 0.000 0.500
0.500 0.500 0.000
0.125 0.750 0.375
0.750 0.125 0.875
0.750 0.625 0.375
0.375 0.125 0.750
0.625 0.875 0.250
0.500 0.500 0.500
0.500 0.000 0.000
0.000 0.000 0.500
0.250 0.375 0.625
0.250 0.875 0.125
0.000 0.500 0.500
0.875 0.250 0.625
0.625 0.750 0.875
0.875 0.625 0.750
0.710 0.125 0.042
0.332 0.542 0.418
0.958 0.375 0.290
0.542 0.210 0.125
0.585 0.710 0.668
0.958 0.582 0.168
0.332 0.790 0.415
0.082 0.915 0.125
0.582 0.958 0.668
0.710 0.585 0.168
0.790 0.458 0.375
0.832 0.918 0.042
0.125 0.710 0.542
0.375 0.418 0.085
0.085 0.918 0.375
0.415 0.125 0.582
0.085 0.168 0.210
0.458 0.668 0.082
0.832 0.915 0.290
0.125 0.415 0.082
0.375 0.958 0.790
0.582 0.625 0.415
0.918 0.832 0.542
0.790 0.332 0.915
0.418 0.375 0.585
0.082 0.168 0.458
0.210 0.668 0.085
0.168 0.085 0.710
0.625 0.042 0.210
0.875 0.585 0.918
0.542 0.332 0.918
0.585 0.875 0.418
0.915 0.832 0.790
0.915 0.082 0.625
0.875 0.290 0.458
0.168 0.082 0.958
0.625 0.582 0.915
0.418 0.042 0.332
0.290 0.415 0.832
0.210 0.542 0.625
0.918 0.085 0.875
0.668 0.210 0.585
0.458 0.790 0.875
0.042 0.418 0.832
0.415 0.290 0.332
0.042 0.625 0.710
0.668 0.458 0.582
0.290 0.875 0.958
```

- volume (Å³ per atom) = 6.6
- size of the total moment (μB/atom) = 0.245
- energy (eV for the cell shown) = -362.84
- space group = Ia-3d, No. 230
- density (g/cm³) = 4.7

***

DFT (GGA-PBE) results for an optimized crystal structure of AlFe3H3.

Geometry as POSCAR:
```
AlFe3H3
1.0
-2.049 0.996 1.427
-1.964 -6.561 1.759
4.562 3.539 4.082
Al Fe H
2 6 6
direct
0.250 0.667 0.333
0.750 0.333 0.667
0.250 0.031 0.356
0.250 0.644 0.675
0.250 0.325 0.969
0.750 0.969 0.644
0.750 0.356 0.325
0.750 0.675 0.031
0.250 0.772 0.958
0.250 0.042 0.815
0.250 0.185 0.228
0.750 0.228 0.042
0.750 0.958 0.185
0.750 0.815 0.772
```

- volume (Å³ per atom) = 8.3
- size of the total moment (μB/atom) = 0.862
- energy (eV for the cell shown) = -78.93
- space group = P6_3/m, No. 176
- density (g/cm³) = 5.6